A plane-wave DFT calculation with PBE was carried out for Ti3Mo2 after structural relaxation.

calculated volume	669.4	Å³/cell
total moment	0.000	μB per formula unit
calculated formation energy	45	kJ/mol of formula units
E above lowest polymorph	0.149	eV/atom

Cell lengths 9.755, 13.434, 5.108 Å; angles 90.00, 90.00, 90.00 degrees
Space group Fdd2 (No. 43)
Inequivalent atoms, fractional coordinates:
Ti (0.000, 0.000, 0.000) [8 per cell]
Ti (0.051, 0.202, 0.851) [16 per cell]
Mo (0.049, 0.112, 0.411) [16 per cell]

=====

A plane-wave DFT calculation with PBE was carried out for TiMo after structural relaxation.

calculated volume	140.2	Å³/cell
total moment	0.000	μB per formula unit
calculated formation energy	160	kJ/mol of formula units

Cell lengths 5.195, 5.195, 5.195 Å; angles 90.00, 90.00, 90.00 degrees
Space group Fm-3m (No. 225)
Inequivalent atoms, fractional coordinates:
Ti (0.000, 0.000, 0.000) [4 per cell]
Mo (0.000, 0.000, 0.500) [4 per cell]

=====

A plane-wave DFT calculation with PBE was carried out for Ti2TlMo after structural relaxation.

calculated volume	71.6	Å³/cell
total moment	0.000	μB per formula unit
calculated formation energy	-39	kJ/mol of formula units
E above lowest polymorph	0.000	eV/atom

Cell lengths 3.312, 3.312, 6.527 Å; angles 90.00, 90.00, 90.00 degrees
Space group P4/mmm (No. 123)
Inequivalent atoms, fractional coordinates:
Ti (0.000, 0.000, 0.215) [2 per cell]
Tl (0.500, 0.500, 0.500) [1 per cell]
Mo (0.500, 0.500, 0.000) [1 per cell]

=====

A plane-wave DFT calculation with PBE was carried out for Ti6TlMo after structural relaxation.

calculated volume	422.8	Å³/cell
total moment	4.804	μB per formula unit
calculated formation energy	23	kJ/mol of formula units

Cell lengths 4.6689, 4.6689, 22.3964 Å; angles 90.00, 90.00, 120.00 degrees
Space group R-3m (No. 166, hexagonal axes)
Inequivalent atoms, fractional coordinates:
Ti (0.0000, 0.0000, 0.1159) [6 per cell]
Ti (0.0000, 0.0000, 0.2495) [6 per cell]
Ti (0.0000, 0.0000, 0.3679) [6 per cell]
Tl (0.0000, 0.0000, 0.5000) [3 per cell]
Mo (0.0000, 0.0000, 0.0000) [3 per cell]

=====

A plane-wave DFT calculation with PBE was carried out for Ti4TlMo after structural relaxation.

calculated volume	211.0	Å³/cell
total moment	0.000	μB per formula unit
calculated formation energy	-21	kJ/mol of formula units
E above lowest polymorph	0.000	eV/atom

Cell lengths 10.318, 3.308, 6.520 Å; angles 90.00, 108.47, 90.00 degrees
Space group C2/m (No. 12)
Inequivalent atoms, fractional coordinates:
Ti (0.161, 0.000, 0.354) [4 per cell]
Ti (0.168, 0.000, 0.807) [4 per cell]
Tl (0.000, 0.500, 0.000) [2 per cell]
Mo (0.000, 0.500, 0.500) [2 per cell]

=====

A plane-wave DFT calculation with PBE was carried out for Ti2TlMo after structural relaxation.

calculated volume	280.9	Å³/cell
total moment	0.000	μB per formula unit
calculated formation energy	19	kJ/mol of formula units
E above lowest polymorph	0.149	eV/atom

Cell lengths 6.549, 6.549, 6.549 Å; angles 90.00, 90.00, 90.00 degrees
Space group Fm-3m (No. 225)
Inequivalent atoms, fractional coordinates:
Ti (0.250, 0.250, 0.250) [8 per cell]
Tl (0.000, 0.000, 0.000) [4 per cell]
Mo (0.000, 0.000, 0.500) [4 per cell]

=====

A plane-wave DFT calculation with PBE was carried out for Ti3TlMo after structural relaxation.

calculated volume	109.4	Å³/cell
total moment	1.228	μB per formula unit
calculated formation energy	335	kJ/mol of formula units
E above lowest polymorph	0.000	eV/atom

Cell lengths 4.783, 4.783, 4.783 Å; angles 90.00, 90.00, 90.00 degrees
Space group Pm-3m (No. 221)
Inequivalent atoms, fractional coordinates:
Ti (0.000, 0.000, 0.500) [3 per cell]
Tl (0.500, 0.500, 0.500) [1 per cell]
Mo (0.000, 0.000, 0.000) [1 per cell]

=====

A plane-wave DFT calculation with PBE was carried out for TiTl2Mo after structural relaxation.

calculated volume	343.4	Å³/cell
total moment	0.000	μB per formula unit
calculated formation energy	310	kJ/mol of formula units
E above lowest polymorph	0.225	eV/atom

Cell lengths 7.648, 7.648, 5.871 Å; angles 90.00, 90.00, 90.00 degrees
Space group I-42d (No. 122)
Inequivalent atoms, fractional coordinates:
Ti (0.000, 0.000, 0.000) [4 per cell]
Tl (0.250, 0.250, 0.125) [8 per cell]
Mo (0.000, 0.000, 0.500) [4 per cell]

=====

A plane-wave DFT calculation with PBE was carried out for Ti2TlMo after structural relaxation.

calculated volume	225.2	Å³/cell
total moment	0.000	μB per formula unit
calculated formation energy	34	kJ/mol of formula units
E above lowest polymorph	0.189	eV/atom

Cell lengths 3.1416, 3.1416, 26.3507 Å; angles 90.00, 90.00, 120.00 degrees
Space group R-3m (No. 166, hexagonal axes)
Inequivalent atoms, fractional coordinates:
Ti (0.0000, 0.0000, 0.2391) [6 per cell]
Tl (0.0000, 0.0000, 0.0000) [3 per cell]
Mo (0.0000, 0.0000, 0.5000) [3 per cell]

=====

A plane-wave DFT calculation with PBE was carried out for TiTlMo2 after structural relaxation.

calculated volume	279.6	Å³/cell
total moment	0.000	μB per formula unit
calculated formation energy	209	kJ/mol of formula units
E above lowest polymorph	0.000	eV/atom

Cell lengths 6.539, 6.539, 6.539 Å; angles 90.00, 90.00, 90.00 degrees
Space group Fm-3m (No. 225)
Inequivalent atoms, fractional coordinates:
Ti (0.000, 0.000, 0.000) [4 per cell]
Tl (0.000, 0.000, 0.500) [4 per cell]
Mo (0.250, 0.250, 0.250) [8 per cell]

=====

A plane-wave DFT calculation with PBE was carried out for Ti2TlMo after structural relaxation.

calculated volume	309.3	Å³/cell
total moment	0.000	μB per formula unit
calculated formation energy	267	kJ/mol of formula units
E above lowest polymorph	0.794	eV/atom

Cell lengths 3.992, 3.992, 19.408 Å; angles 90.00, 90.00, 90.00 degrees
Space group I-42d (No. 122)
Inequivalent atoms, fractional coordinates:
Ti (0.234, 0.250, 0.125) [8 per cell]
Tl (0.000, 0.000, 0.500) [4 per cell]
Mo (0.000, 0.000, 0.000) [4 per cell]

=====

A plane-wave DFT calculation with PBE was carried out for Ti2TlMo after structural relaxation.

calculated volume	69.9	Å³/cell
total moment	0.000	μB per formula unit
calculated formation energy	12	kJ/mol of formula units
E above lowest polymorph	0.131	eV/atom

Cell lengths 4.467, 4.467, 3.506 Å; angles 90.00, 90.00, 90.00 degrees
Space group P4/mmm (No. 123)
Inequivalent atoms, fractional coordinates:
Ti (0.000, 0.500, 0.000) [2 per cell]
Tl (0.000, 0.000, 0.500) [1 per cell]
Mo (0.500, 0.500, 0.500) [1 per cell]